# 1
Li3In | PBE-GGA | optimized geometry

abc: 5.5079 5.5079 5.5079
angles: 116.80 116.80 116.80
Element x y z (fractional)
Li (0.0000, 0.5000, 0.5000)
Li (0.5000, 0.0000, 0.5000)
Li (0.5000, 0.5000, 0.0000)
In (0.0000, 0.0000, 0.0000)

Summary:
Its density of states at the Fermi level is 2.08 states/eV/cell. The formation energy comes out at -17 kJ per mole of atoms. Its polymorph energy (0 for the lowest one) is 61 meV per atom.

***

# 2
SrTlBi2O6 | PBE-GGA | optimized geometry

abc: 6.3097 6.3097 6.3097
angles: 56.94 56.94 56.94
Element x y z (fractional)
Sr (0.0000, 0.0000, 0.0000)
Tl (0.4892, 0.4892, 0.4892)
Bi (0.2767, 0.2767, 0.2767)
Bi (0.7791, 0.7791, 0.7791)
O (0.0774, 0.6378, 0.4233)
O (0.1735, 0.5728, 0.8788)
O (0.4233, 0.0774, 0.6378)
O (0.5728, 0.8788, 0.1735)
O (0.6378, 0.4233, 0.0774)
O (0.8788, 0.1735, 0.5728)

Summary:
Its density of states at the Fermi level is 3.69 states/eV/cell. The formation energy (no corrections) is -13.5 eV per formula unit.

***

# 3
SrMg2ScCo | PBE-GGA | optimized geometry

abc: 5.1503 5.1503 4.6795
angles: 90.00 90.00 90.00
Element x y z (fractional)
Sr (0.0000, 0.0000, 0.0000)
Mg (0.0000, 0.5000, 0.5000)
Mg (0.5000, 0.0000, 0.5000)
Sc (0.5000, 0.5000, 0.0000)
Co (0.5000, 0.5000, 0.5000)

Summary:
Its density of states at the Fermi level is 4.08 states/eV/cell. The formation energy comes out at -2 kJ per mole of atoms.